# ZnCo2Tc, optimized geometry, DFT PBE-GGA
# Crystal system   cubic
# Size of the total moment   1.03 μB/f.u.
# Energy of formation   0.2377 eV/atom
data_ZnCo2Tc
_chemical_formula_sum 'Zn4 Co8 Tc4'
_symmetry_space_group_name_H-M 'F -4 3 m'
_symmetry_Int_Tables_number 216
_symmetry_space_group_name_Hall 'F -4 2 3'
_cell_length_a 5.814
_cell_length_b 5.814
_cell_length_c 5.814
_cell_angle_alpha 90.00
_cell_angle_beta 90.00
_cell_angle_gamma 90.00
loop_
_atom_site_label
_atom_site_fract_x
_atom_site_fract_y
_atom_site_fract_z
_atom_site_occupancy
Zn1 0.000 0.000 0.000 1
Co1 0.000 0.000 0.500 1
Co2 0.250 0.250 0.750 1
Tc1 0.250 0.250 0.250 1